Record 1
The following is a DFT calculation (GGA-PBEsol) of a relaxed InHg2P crystal. Values from VASP.

Quantum ESPRESSO input file:
```
&SYSTEM
  ibrav = 0, nat = 4, ntyp = 3
/
ATOMIC_SPECIES
P 30.97 P.upf
Hg 200.59 Hg.upf
In 114.82 In.upf
ATOMIC_POSITIONS crystal
P 0.5000 0.5000 0.0000
Hg 0.0000 0.7202 0.7794
In 0.5000 0.0000 0.5000
Hg 0.0000 0.2798 0.2206
CELL_PARAMETERS angstrom
4.0691 0.0000 0.0000
0.0000 4.8399 0.0594
0.0000 -1.6397 4.5676
```

Results
crystal system: monoclinic
ΔE_f: 105 meV per atom
total magnetic moment: 0.00 Bohr magnetons per cell

Record 2
The following is a DFT calculation (GGA-PBEsol) of a relaxed InHgP2 crystal. Values from VASP.

Quantum ESPRESSO input file:
```
&SYSTEM
  ibrav = 0, nat = 4, ntyp = 3
/
ATOMIC_SPECIES
P 30.97 P.upf
In 114.82 In.upf
Hg 200.59 Hg.upf
ATOMIC_POSITIONS crystal
P 0.0000 0.5000 0.0000
In 0.5000 0.5000 0.5000
P 0.0000 0.0000 0.5000
Hg 0.5000 0.0000 0.0000
CELL_PARAMETERS angstrom
3.7129 0.0000 0.0000
0.0000 4.6397 -0.0080
0.0000 -1.1398 4.4975
```

Results
crystal system: orthorhombic
offset from the most stable computed form: 0.046 eV per atom
ΔE_f: 486 meV per atom
total magnetic moment: 0.00 Bohr magnetons per cell

Record 3
The following is a DFT calculation (GGA-PBEsol) of a relaxed InHgP crystal. Values from VASP.

Quantum ESPRESSO input file:
```
&SYSTEM
  ibrav = 0, nat = 3, ntyp = 3
/
ATOMIC_SPECIES
Hg 200.59 Hg.upf
In 114.82 In.upf
P 30.97 P.upf
ATOMIC_POSITIONS crystal
Hg 0.2500 0.2500 0.2500
In 0.0000 0.0000 0.0000
P 0.5000 0.5000 0.5000
CELL_PARAMETERS angstrom
4.6507 0.0000 0.0000
2.3254 4.0277 0.0000
2.3254 1.3426 3.7973
```

Results
crystal system: cubic
offset from the most stable computed form: 0.291 eV per atom
ΔE_f: 357 meV per atom
total magnetic moment: 0.00 Bohr magnetons per cell

Record 4
The following is a DFT calculation (GGA-PBEsol) of a relaxed InHgP crystal. Values from VASP.

Quantum ESPRESSO input file:
```
&SYSTEM
  ibrav = 0, nat = 3, ntyp = 3
/
ATOMIC_SPECIES
In 114.82 In.upf
P 30.97 P.upf
Hg 200.59 Hg.upf
ATOMIC_POSITIONS crystal
In 0.3333 0.6667 0.6224
P 0.6667 0.3333 0.3490
Hg 0.0000 0.0000 0.0286
CELL_PARAMETERS angstrom
-1.1146 -3.7006 -0.8054
3.5422 1.2932 -1.1685
1.9343 -1.4980 4.2058
```

Results
crystal system: trigonal
offset from the most stable computed form: 0.000 eV per atom
ΔE_f: 66 meV per atom
total magnetic moment: 0.00 Bohr magnetons per cell

Record 5
The following is a DFT calculation (GGA-PBEsol) of a relaxed InHgP2 crystal. Values from VASP.

Quantum ESPRESSO input file:
```
&SYSTEM
  ibrav = 0, nat = 4, ntyp = 3
/
ATOMIC_SPECIES
Hg 200.59 Hg.upf
P 30.97 P.upf
In 114.82 In.upf
ATOMIC_POSITIONS crystal
Hg 0.5000 0.5000 0.0000
P 0.0000 0.5000 0.5000
P 0.0000 0.0000 0.0000
In 0.5000 0.0000 0.5000
CELL_PARAMETERS angstrom
3.7843 0.0000 0.0000
0.0000 3.8424 0.0000
0.0000 0.0000 5.4873
```

Results
crystal system: orthorhombic
offset from the most stable computed form: 0.000 eV per atom
ΔE_f: 441 meV per atom
total magnetic moment: 0.00 Bohr magnetons per cell

Record 6
The following is a DFT calculation (GGA-PBEsol) of a relaxed In2HgPb crystal. Values from VASP.

Quantum ESPRESSO input file:
```
&SYSTEM
  ibrav = 0, nat = 4, ntyp = 3
/
ATOMIC_SPECIES
Hg 200.59 Hg.upf
Pb 207.20 Pb.upf
In 114.82 In.upf
ATOMIC_POSITIONS crystal
Hg 0.5000 0.5000 0.0000
Pb 0.5000 0.5000 0.5000
In 0.0000 0.0000 0.2362
In 0.0000 0.0000 0.7638
CELL_PARAMETERS angstrom
-0.0628 1.8910 2.6792
-1.2188 -3.0151 0.4258
9.6633 -3.5229 2.7131
```

Results
crystal system: orthorhombic
ΔE_f: 12 meV per atom
total magnetic moment: 0.00 Bohr magnetons per cell

Record 7
The following is a DFT calculation (GGA-PBEsol) of a relaxed InHg2Pb crystal. Values from VASP.

Quantum ESPRESSO input file:
```
&SYSTEM
  ibrav = 0, nat = 4, ntyp = 3
/
ATOMIC_SPECIES
Hg 200.59 Hg.upf
Pb 207.20 Pb.upf
In 114.82 In.upf
ATOMIC_POSITIONS crystal
Hg 0.5000 0.5000 0.5000
Pb 0.5000 0.0000 0.0000
Hg 0.0000 0.0000 0.5000
In 0.0000 0.5000 0.0000
CELL_PARAMETERS angstrom
3.3238 0.0236 0.0000
-0.8191 6.0469 0.0000
-1.2523 -3.0352 5.0802
```

Results
crystal system: monoclinic
ΔE_f: 15 meV per atom
total magnetic moment: 0.00 Bohr magnetons per cell

Record 8
The following is a DFT calculation (GGA-PBEsol) of a relaxed InHg2Pb crystal. Values from VASP.

Quantum ESPRESSO input file:
```
&SYSTEM
  ibrav = 0, nat = 4, ntyp = 3
/
ATOMIC_SPECIES
Pb 207.20 Pb.upf
In 114.82 In.upf
Hg 200.59 Hg.upf
ATOMIC_POSITIONS crystal
Pb 0.0000 0.5000 0.5000
In 0.5000 0.5000 0.0000
Hg 0.0000 0.0000 0.0000
Hg 0.5000 0.0000 0.5000
CELL_PARAMETERS angstrom
-2.4230 2.8896 0.1252
-3.1047 -2.4630 -3.2382
-2.4667 -2.2448 4.0724
```

Results
crystal system: orthorhombic
ΔE_f: 16 meV per atom
total magnetic moment: 0.00 Bohr magnetons per cell